This record from Alexandria via LeMat-Bulk describes Pu2CuAg after structural relaxation. The functional is PBE-GGA.

Results
Total magnetic moment, μB/f.u.: 12.0
ΔE_f, meV/atom: 127

Lattice parameters (Å, degrees): 3.8491 3.8491 6.0523 90.00 90.00 90.00
Fractional positions:
Pu 0.0000 0.0000 0.2409
Pu 0.0000 0.0000 0.7591
Cu 0.5000 0.5000 0.0000
Ag 0.5000 0.5000 0.5000